one | {"formula": "CaLaNd2", "functional": "PBE", "state": "relaxed", "lattice": [[-4.7463, 1.6478, -1.8258], [-2.2226, -4.3718, 1.8321], [-0.9285, 2.3859, 4.5667]], "species": ["Nd", "Ca", "Nd", "La"], "fractional_positions": [[0.0000, 0.5000, 0.0000], [0.5000, 0.0000, 0.0000], [0.0000, 0.0000, 0.5000], [0.5000, 0.5000, 0.5000]], "volume_a3_per_cell": 147}

two | {"formula": "CaLaNd2", "functional": "PBE", "state": "relaxed", "lattice": [[3.7331, 0.0000, 0.0000], [0.0000, 3.7331, 0.0000], [0.0000, 0.0000, 10.6272]], "species": ["Ca", "Nd", "La", "Nd"], "fractional_positions": [[0.5000, 0.5000, 0.5000], [0.0000, 0.0000, 0.7627], [0.5000, 0.5000, 0.0000], [0.0000, 0.0000, 0.2373]], "volume_a3_per_cell": 148}

three | {"formula": "CaLaNd2", "functional": "PBE", "state": "relaxed", "lattice": [[5.9438, 0.0000, 0.0000], [2.9719, 5.1475, 0.0000], [2.9719, 1.7158, 4.8531]], "species": ["La", "Nd", "Nd", "Ca"], "fractional_positions": [[0.0000, 0.0000, 0.0000], [0.7500, 0.7500, 0.7500], [0.2500, 0.2500, 0.2500], [0.5000, 0.5000, 0.5000]], "volume_a3_per_cell": 148}

The structure shown above that is least stable: three.